VASP calculation (PBE) on a geometry-optimized NaPbO2 structure.

DOS at the Fermi energy (states/eV/atom): 0.161
Crystal system: orthorhombic
Spin magnetization (μB/cell): 0.0
Formation energy (no corrections) (meV per atom): -1087
VASP energy (eV per formula unit): -19.3

a = 6.0354 Å, b = 3.4041 Å, c = 11.5527 Å
α = 90.00°, β = 90.00°, γ = 90.00°
Space group Pnma (No. 62)
Symmetry-distinct sites (fractional):
Na (0.0826, 0.2500, 0.1017) (multiplicity 4)
Pb (0.0674, 0.7500, 0.3631) (multiplicity 4)
O (0.1256, 0.7500, 0.7312) (multiplicity 4)
O (0.2143, 0.2500, 0.4967) (multiplicity 4)



VASP calculation (PBE) on a geometry-optimized NaPbO3 structure.

DOS at the Fermi energy (states/eV/atom): 0.228
Crystal system: monoclinic
Spin magnetization (μB/cell): 0.1
Formation energy (no corrections) (meV per atom): -985
VASP energy (eV per formula unit): -24.8

a = 12.2560 Å, b = 3.3411 Å, c = 8.7391 Å
α = 90.00°, β = 120.67°, γ = 90.00°
Space group C2/m (No. 12)
Symmetry-distinct sites (fractional):
Na (0.1009, 0.0000, 0.3546) (multiplicity 4)
Pb (0.2079, 0.5000, 0.8053) (multiplicity 4)
O (0.0042, 0.5000, 0.5856) (multiplicity 4)
O (0.1363, 0.0000, 0.9096) (multiplicity 4)
O (0.2338, 0.5000, 0.3044) (multiplicity 4)



VASP calculation (PBE) on a geometry-optimized Na2PbO4 structure.

DOS at the Fermi energy (states/eV/atom): 0.126
Crystal system: monoclinic
Spin magnetization (μB/cell): 0.0
Formation energy (no corrections) (meV per atom): -1024
VASP energy (eV per formula unit): -33.3

a = 5.3973 Å, b = 3.4040 Å, c = 6.2547 Å
α = 90.00°, β = 115.52°, γ = 90.00°
Space group P2/m (No. 10)
Symmetry-distinct sites (fractional):
Na (0.1879, 0.0000, 0.3382) (multiplicity 2)
Pb (0.5000, 0.5000, 0.0000) (multiplicity 1)
O (0.0377, 0.5000, 0.9001) (multiplicity 2)
O (0.4194, 0.0000, 0.7446) (multiplicity 2)



VASP calculation (PBE) on a geometry-optimized NaPb3O3 structure.

DOS at the Fermi energy (states/eV/atom): 0.318
Crystal system: hexagonal
Spin magnetization (μB/cell): 0.0
Formation energy (no corrections) (meV per atom): -952
VASP energy (eV per formula unit): -34.0

a = 7.9246 Å, b = 7.9246 Å, c = 5.4209 Å
α = 90.00°, β = 90.00°, γ = 120.00°
Space group P6_3/mmc (No. 194)
Symmetry-distinct sites (fractional):
Na (0.3333, 0.6667, 0.2500) (multiplicity 2)
Pb (0.1766, 0.3531, 0.7500) (multiplicity 6)
O (0.1543, 0.3086, 0.2500) (multiplicity 6)



VASP calculation (PBE) on a geometry-optimized NaPbO2 structure.

DOS at the Fermi energy (states/eV/atom): 0.370
Crystal system: trigonal
Spin magnetization (μB/cell): 0.0
Formation energy (no corrections) (meV per atom): -1066
VASP energy (eV per formula unit): -19.2

a = 3.8426 Å, b = 3.8426 Å, c = 17.8974 Å
α = 90.00°, β = 90.00°, γ = 120.00°
Space group R3m (No. 160, hexagonal axes)
Symmetry-distinct sites (fractional):
Na (0.0000, 0.0000, 0.0000) (multiplicity 3)
Pb (0.0000, 0.0000, 0.5075) (multiplicity 3)
O (0.0000, 0.0000, 0.1357) (multiplicity 3)
O (0.0000, 0.0000, 0.6233) (multiplicity 3)



VASP calculation (PBE) on a geometry-optimized NaPbO2 structure.

DOS at the Fermi energy (states/eV/atom): 0.222
Crystal system: orthorhombic
Spin magnetization (μB/cell): 0.0
Formation energy (no corrections) (meV per atom): -1104
VASP energy (eV per formula unit): -19.4

a = 6.3216 Å, b = 3.5899 Å, c = 11.7078 Å
α = 90.00°, β = 90.00°, γ = 90.00°
Space group Pnma (No. 62)
Symmetry-distinct sites (fractional):
Na (0.0884, 0.2500, 0.1249) (multiplicity 4)
Pb (0.1118, 0.7500, 0.3789) (multiplicity 4)
O (0.0896, 0.2500, 0.7761) (multiplicity 4)
O (0.2033, 0.2500, 0.4953) (multiplicity 4)